Entry 1:
VASP calculation (PBE) on a geometry-optimized Cd3Cu structure.

POSCAR file:
```
Cd3Cu
1.0
-1.829 1.080 -4.637
-4.761 -0.440 1.775
-0.025 4.966 1.166
Cd Cu
3 1
Cartesian
-2.381 -0.220 0.888 Cd
-0.012 2.483 0.583 Cd
-0.915 0.540 -2.319 Cd
0.000 0.000 0.000 Cu
```

The total magnetization is 0.000 μB per formula unit. The value obtained for the energy relative to the elements is 0.2454 eV/atom. The calculation puts the total DFT energy (no corrections) at -1.465 eV per atom.

=====

Entry 2:
VASP calculation (PBE) on a geometry-optimized LaCrSnRu2 structure.

POSCAR file:
```
LaCrSnRu2
1.0
-3.908 -2.066 -1.965
1.294 -4.178 1.819
-2.526 0.964 4.011
Ru La Sn Cr
2 1 1 1
Cartesian
-1.263 0.482 2.006 Ru
-1.954 -1.033 -0.982 Ru
0.000 0.000 0.000 La
-2.570 -2.640 1.933 Sn
0.647 -2.089 0.909 Cr
```

The total magnetization is 0.553 μB per formula unit. As for the relative energy among the computed polymorphs: 133.72 kJ per mole of atoms. The value obtained for the energy relative to the elements is 1.7644 eV/atom. The calculation puts the total DFT energy (no corrections) at -5.657 eV per atom.

=====

Entry 3:
VASP calculation (PBE) on a geometry-optimized BaBe2Mo structure.

POSCAR file:
```
BaBe2Mo
1.0
-3.605 -0.911 -3.288
1.287 -4.241 -2.236
-0.348 1.020 4.845
Be Mo Ba
2 1 1
Cartesian
0.000 0.000 0.000 Be
-1.159 -2.576 -2.762 Be
-0.110 -2.898 -0.076 Mo
-2.556 -1.234 -0.602 Ba
```

The total magnetization is 0.504 μB per formula unit. As for the relative energy among the computed polymorphs: 72.17 kJ per mole of atoms. The value obtained for the energy relative to the elements is 1.2093 eV/atom. The calculation puts the total DFT energy (no corrections) at -3.842 eV per atom.

=====

Entry 4:
VASP calculation (PBE) on a geometry-optimized PmSmHgI structure.

POSCAR file:
```
PmSmHgI
1.0
-4.730 2.230 -1.554
-1.392 0.045 -5.275
-4.061 -3.179 -1.777
Hg I Sm Pm
1 1 1 1
Cartesian
-5.091 -0.452 -4.303 Hg
0.000 0.000 0.000 I
-7.637 -0.678 -6.454 Sm
-2.546 -0.226 -2.151 Pm
```

The total magnetization is 0.000 μB per formula unit. The calculation puts the formation energy (no corrections) at -47.3 kJ/mol of atoms. The calculation puts the total DFT energy (no corrections) at -3.321 eV per atom.

=====

Entry 5:
VASP calculation (PBE) on a geometry-optimized AcPmErAl structure.

POSCAR file:
```
AcPmErAl
1.0
-2.355 -5.002 0.346
2.315 -4.334 -2.558
2.420 -4.001 2.970
Al Ac Pm Er
1 1 1 1
Cartesian
0.595 -3.334 0.189 Al
1.786 -10.003 0.568 Ac
0.000 0.000 0.000 Pm
1.190 -6.669 0.379 Er
```

The total magnetization is 0.000 μB per formula unit. The value obtained for the energy relative to the elements is 0.0741 eV/atom. The calculation puts the total DFT energy (no corrections) at -4.217 eV per atom.

=====

Entry 6:
VASP calculation (PBE) on a geometry-optimized Hf2In5 structure.

POSCAR file:
```
Hf2In5
1.0
-6.197 7.246 -4.120
-7.446 -7.120 -1.323
-1.106 0.639 2.788
Hf In
4 10
Cartesian
-6.107 3.965 -1.646 Hf
-8.642 -3.200 -1.010 Hf
-4.051 -0.655 0.229 Hf
-10.698 1.420 -2.884 Hf
-4.888 1.100 -2.192 In
-1.750 1.071 -0.940 In
-5.989 -1.885 -1.945 In
-8.754 -0.973 -3.251 In
-11.893 -0.944 -4.503 In
-7.366 5.316 -4.142 In
-6.277 -5.190 -1.302 In
-3.723 -3.560 -0.662 In
-7.653 2.012 -3.498 In
-3.098 3.623 -2.060 In
```

The total magnetization is 0.000 μB per formula unit. The value obtained for the energy relative to the elements is -0.1416 eV/atom. The calculation puts the total DFT energy (no corrections) at -4.941 eV per atom.

=====

Entry 7:
VASP calculation (PBE) on a geometry-optimized Pr2ThCu structure.

POSCAR file:
```
Pr2ThCu
1.0
3.490 0.000 0.000
1.745 3.023 0.000
1.745 1.008 11.365
Cu Pr Th
1 2 1
Cartesian
3.490 2.015 5.682 Cu
5.235 3.023 3.481 Pr
1.745 1.008 7.884 Pr
0.000 0.000 0.000 Th
```

The total magnetization is 0.000 μB per formula unit. As for the relative energy among the computed polymorphs: 28.96 kJ per mole of atoms. The value obtained for the energy relative to the elements is 0.2705 eV/atom. The calculation puts the total DFT energy (no corrections) at -4.998 eV per atom.

=====

Entry 8:
VASP calculation (PBE) on a geometry-optimized TiRe2MoPb structure.

POSCAR file:
```
TiRe2MoPb
1.0
4.675 0.000 0.000
0.000 4.636 0.000
0.000 0.000 4.675
Mo Ti Re Pb
1 1 2 1
Cartesian
0.000 2.318 0.000 Mo
0.000 0.000 0.000 Ti
0.000 0.000 2.337 Re
2.337 0.000 0.000 Re
2.337 2.318 2.337 Pb
```

The total magnetization is 1.995 μB per formula unit. The value obtained for the energy relative to the elements is 1.6954 eV/atom. The calculation puts the total DFT energy (no corrections) at -7.771 eV per atom.

=====

Entry 9:
VASP calculation (PBE) on a geometry-optimized Te2Pd2Pb structure.

POSCAR file:
```
Te2Pd2Pb
1.0
8.461 0.000 0.000
0.000 8.461 0.000
0.000 0.000 3.235
Te Pd Pb
4 4 2
Cartesian
2.903 7.134 0.000 Te
7.134 5.557 0.000 Te
5.557 1.327 0.000 Te
1.327 2.903 0.000 Te
5.404 7.287 1.617 Pd
3.057 1.173 1.617 Pd
1.173 5.404 1.617 Pd
7.287 3.057 1.617 Pd
4.230 4.230 0.000 Pb
0.000 0.000 0.000 Pb
```

The total magnetization is 0.000 μB per formula unit. The calculation puts the formation energy (no corrections) at -8.0 kJ/mol of atoms. As for the relative energy among the computed polymorphs: 12.54 kJ per mole of atoms. The calculation puts the total DFT energy (no corrections) at -4.159 eV per atom.

=====

Entry 10:
VASP calculation (PBE) on a geometry-optimized BaEuLuMg structure.

POSCAR file:
```
BaEuLuMg
1.0
-2.398 -4.847 -2.460
-2.442 -4.181 3.443
-5.894 -0.746 0.041
Eu Lu Ba Mg
1 1 1 1
Cartesian
-8.050 -7.330 0.768 Eu
-5.367 -4.887 0.512 Lu
-2.683 -2.443 0.256 Ba
0.000 0.000 0.000 Mg
```

The total magnetization is 7.381 μB per formula unit. The value obtained for the energy relative to the elements is 0.1729 eV/atom. The calculation puts the total DFT energy (no corrections) at -4.405 eV per atom.